1.
Entry from the Alexandria database: an optimized crystal structure of SbC (PBE).

Values from the calculation:
Space-group type: Imma, No. 74
Total magnetic moment in Bohr magnetons per cell: 0.00
Uncorrected formation energy in eV per atom: 1.843
DOS(E_F) in states/eV per atom: 0.4624
Crystal system: orthorhombic
E_tot in eV/atom: -4.83

a b c (Å): 3.178 3.183 14.880
angles (deg): 90.00 90.00 90.00
Element x y z (fractional)
Sb (0.000, 0.250, 0.138)
Sb (0.000, 0.750, 0.862)
Sb (0.500, 0.250, 0.362)
Sb (0.500, 0.750, 0.638)
C (0.000, 0.250, 0.621)
C (0.000, 0.750, 0.379)
C (0.500, 0.250, 0.879)
C (0.500, 0.750, 0.121)



2.
Entry from the Alexandria database: an optimized crystal structure of SbC (PBE).

Values from the calculation:
Space-group type: P2/m, No. 10
Total magnetic moment in Bohr magnetons per cell: 0.00
Uncorrected formation energy in eV per atom: 0.835
DOS(E_F) in states/eV per atom: 0.0469
Crystal system: monoclinic
E_tot in eV/atom: -5.84

a b c (Å): 4.719 4.164 5.291
angles (deg): 90.00 98.30 90.00
Element x y z (fractional)
Sb (0.247, 0.000, 0.300)
Sb (0.753, 0.000, 0.700)
C (0.000, 0.340, 0.500)
C (0.000, 0.660, 0.500)



3.
Entry from the Alexandria database: an optimized crystal structure of SbC (PBE).

Values from the calculation:
Space-group type: Pmn2_1, No. 31
Total magnetic moment in Bohr magnetons per cell: 0.00
Uncorrected formation energy in eV per atom: 1.382
DOS(E_F) in states/eV per atom: 0.2672
Crystal system: orthorhombic
E_tot in eV/atom: -5.29

a b c (Å): 10.767 3.420 5.755
angles (deg): 90.00 90.00 90.00
Element x y z (fractional)
Sb (0.000, 0.074, 0.000)
Sb (0.176, 0.313, 0.549)
Sb (0.324, 0.687, 0.049)
Sb (0.500, 0.926, 0.500)
Sb (0.676, 0.687, 0.049)
Sb (0.824, 0.313, 0.549)
C (0.000, 0.535, 0.726)
C (0.222, 0.194, 0.914)
C (0.278, 0.806, 0.414)
C (0.500, 0.465, 0.226)
C (0.722, 0.806, 0.414)
C (0.778, 0.194, 0.914)



4.
Entry from the Alexandria database: an optimized crystal structure of SbC2 (PBE).

Values from the calculation:
Space-group type: I4/mcm, No. 140
Total magnetic moment in Bohr magnetons per cell: 0.00
Uncorrected formation energy in eV per atom: 1.532
DOS(E_F) in states/eV per atom: 0.1621
Crystal system: tetragonal
E_tot in eV/atom: -5.99

a b c (Å): 4.982 4.982 6.235
angles (deg): 90.00 90.00 90.00
Element x y z (fractional)
Sb (0.000, 0.000, 0.250)
Sb (0.000, 0.000, 0.750)
Sb (0.500, 0.500, 0.250)
Sb (0.500, 0.500, 0.750)
C (0.093, 0.407, 0.000)
C (0.093, 0.593, 0.500)
C (0.407, 0.093, 0.500)
C (0.407, 0.907, 0.000)
C (0.593, 0.093, 0.000)
C (0.593, 0.907, 0.500)
C (0.907, 0.407, 0.500)
C (0.907, 0.593, 0.000)



5.
Entry from the Alexandria database: an optimized crystal structure of Sb3C (PBE).

Values from the calculation:
Space-group type: R-3m, No. 166
Total magnetic moment in Bohr magnetons per cell: 0.00
Uncorrected formation energy in eV per atom: 0.908
DOS(E_F) in states/eV per atom: 0.4944
Crystal system: trigonal
E_tot in eV/atom: -4.49

a b c (Å): 3.441 3.441 25.073
angles (deg): 90.00 90.00 120.00
Element x y z (fractional)
Sb (0.000, 0.000, 0.000)
Sb (0.000, 0.000, 0.224)
Sb (0.000, 0.000, 0.776)
Sb (0.333, 0.667, 0.442)
Sb (0.333, 0.667, 0.667)
Sb (0.333, 0.667, 0.891)
Sb (0.667, 0.333, 0.109)
Sb (0.667, 0.333, 0.333)
Sb (0.667, 0.333, 0.558)
C (0.000, 0.000, 0.500)
C (0.333, 0.667, 0.167)
C (0.667, 0.333, 0.833)



6.
Entry from the Alexandria database: an optimized crystal structure of Sb2C (PBE).

Values from the calculation:
Space-group type: P6/mmm, No. 191
Total magnetic moment in Bohr magnetons per cell: 1.05
Uncorrected formation energy in eV per atom: 2.053
DOS(E_F) in states/eV per atom: 0.3880
Crystal system: hexagonal
E_tot in eV/atom: -3.77

a b c (Å): 5.032 5.032 3.024
angles (deg): 90.00 90.00 120.00
Element x y z (fractional)
Sb (0.333, 0.667, 0.000)
Sb (0.667, 0.333, 0.000)
C (0.000, 0.000, 0.500)



7.
Entry from the Alexandria database: an optimized crystal structure of SbC (PBE).

Values from the calculation:
Space-group type: Cmcm, No. 63
Total magnetic moment in Bohr magnetons per cell: 0.00
Uncorrected formation energy in eV per atom: 0.976
DOS(E_F) in states/eV per atom: 0.5459
Crystal system: orthorhombic
E_tot in eV/atom: -5.70

a b c (Å): 5.104 16.271 2.705
angles (deg): 90.00 90.00 90.00
Element x y z (fractional)
Sb (0.000, 0.207, 0.250)
Sb (0.000, 0.793, 0.750)
Sb (0.500, 0.293, 0.750)
Sb (0.500, 0.707, 0.250)
C (0.000, 0.500, 0.250)
C (0.000, 0.500, 0.750)
C (0.500, 0.000, 0.250)
C (0.500, 0.000, 0.750)



8.
Entry from the Alexandria database: an optimized crystal structure of SbC3 (PBE).

Values from the calculation:
Space-group type: Cmmm, No. 65
Total magnetic moment in Bohr magnetons per cell: 0.00
Uncorrected formation energy in eV per atom: 2.207
DOS(E_F) in states/eV per atom: 0.1974
Crystal system: orthorhombic
E_tot in eV/atom: -5.74

a b c (Å): 2.571 6.399 6.816
angles (deg): 90.00 90.00 90.00
Element x y z (fractional)
Sb (0.000, 0.000, 0.000)
Sb (0.500, 0.500, 0.000)
C (0.000, 0.000, 0.500)
C (0.000, 0.500, 0.372)
C (0.000, 0.500, 0.628)
C (0.500, 0.000, 0.372)
C (0.500, 0.000, 0.628)
C (0.500, 0.500, 0.500)



9.
Entry from the Alexandria database: an optimized crystal structure of Sb3C (PBE).

Values from the calculation:
Space-group type: Imm2, No. 44
Total magnetic moment in Bohr magnetons per cell: 0.00
Uncorrected formation energy in eV per atom: 0.981
DOS(E_F) in states/eV per atom: 0.2878
Crystal system: orthorhombic
E_tot in eV/atom: -4.42

a b c (Å): 3.207 9.556 6.052
angles (deg): 90.00 90.00 90.00
Element x y z (fractional)
Sb (0.000, 0.000, 0.000)
Sb (0.000, 0.158, 0.538)
Sb (0.000, 0.842, 0.538)
Sb (0.500, 0.342, 0.038)
Sb (0.500, 0.500, 0.500)
Sb (0.500, 0.658, 0.038)
C (0.000, 0.500, 0.901)
C (0.500, 0.000, 0.401)



10.
Entry from the Alexandria database: an optimized crystal structure of SbC2 (PBE).

Values from the calculation:
Space-group type: Cmcm, No. 63
Total magnetic moment in Bohr magnetons per cell: 0.00
Uncorrected formation energy in eV per atom: 0.970
DOS(E_F) in states/eV per atom: 0.2554
Crystal system: orthorhombic
E_tot in eV/atom: -6.55

a b c (Å): 2.649 23.451 5.477
angles (deg): 90.00 90.00 90.00
Element x y z (fractional)
Sb (0.000, 0.229, 0.250)
Sb (0.000, 0.771, 0.750)
Sb (0.500, 0.271, 0.750)
Sb (0.500, 0.729, 0.250)
C (0.000, 0.067, 0.750)
C (0.000, 0.433, 0.250)
C (0.000, 0.567, 0.750)
C (0.000, 0.933, 0.250)
C (0.500, 0.067, 0.750)
C (0.500, 0.433, 0.250)
C (0.500, 0.567, 0.750)
C (0.500, 0.933, 0.250)



11.
Entry from the Alexandria database: an optimized crystal structure of SbC (PBE).

Values from the calculation:
Space-group type: F-43m, No. 216
Total magnetic moment in Bohr magnetons per cell: 0.00
Uncorrected formation energy in eV per atom: 1.493
DOS(E_F) in states/eV per atom: 0.5473
Crystal system: cubic
E_tot in eV/atom: -5.18

a b c (Å): 5.285 5.285 5.285
angles (deg): 90.00 90.00 90.00
Element x y z (fractional)
Sb (0.000, 0.000, 0.000)
Sb (0.000, 0.500, 0.500)
Sb (0.500, 0.000, 0.500)
Sb (0.500, 0.500, 0.000)
C (0.250, 0.250, 0.750)
C (0.250, 0.750, 0.250)
C (0.750, 0.250, 0.250)
C (0.750, 0.750, 0.750)



12.
Entry from the Alexandria database: an optimized crystal structure of SbC (PBE).

Values from the calculation:
Space-group type: P-1, No. 2
Total magnetic moment in Bohr magnetons per cell: 0.00
Uncorrected formation energy in eV per atom: 0.835
Crystal system: triclinic
E_tot in eV/atom: -5.84

a b c (Å): 4.163 4.575 5.888
angles (deg): 79.22 69.63 89.97
Element x y z (fractional)
Sb (0.098, 0.263, 0.302)
Sb (0.902, 0.737, 0.698)
C (0.340, 0.500, 0.500)
C (0.660, 0.500, 0.500)



13.
Entry from the Alexandria database: an optimized crystal structure of Sb2C (PBE).

Values from the calculation:
Space-group type: Fm-3m, No. 225
Total magnetic moment in Bohr magnetons per cell: 0.00
Uncorrected formation energy in eV per atom: 1.632
DOS(E_F) in states/eV per atom: 1.2196
Crystal system: cubic
E_tot in eV/atom: -4.19

a b c (Å): 6.340 6.340 6.340
angles (deg): 90.00 90.00 90.00
Element x y z (fractional)
Sb (0.250, 0.250, 0.250)
Sb (0.250, 0.250, 0.750)
Sb (0.250, 0.750, 0.250)
Sb (0.250, 0.750, 0.750)
Sb (0.750, 0.250, 0.250)
Sb (0.750, 0.250, 0.750)
Sb (0.750, 0.750, 0.250)
Sb (0.750, 0.750, 0.750)
C (0.000, 0.000, 0.000)
C (0.000, 0.500, 0.500)
C (0.500, 0.000, 0.500)
C (0.500, 0.500, 0.000)



14.
Entry from the Alexandria database: an optimized crystal structure of Sb3C (PBE).

Values from the calculation:
Space-group type: Pmm2, No. 25
Total magnetic moment in Bohr magnetons per cell: 0.00
Uncorrected formation energy in eV per atom: 0.951
DOS(E_F) in states/eV per atom: 0.5492
Crystal system: orthorhombic
E_tot in eV/atom: -4.45

a b c (Å): 3.203 3.270 8.595
angles (deg): 90.00 90.00 90.00
Element x y z (fractional)
Sb (0.000, 0.000, 0.000)
Sb (0.000, 0.500, 0.323)
Sb (0.500, 0.500, 0.658)
C (0.500, 0.000, 0.206)



15.
Entry from the Alexandria database: an optimized crystal structure of SbC (PBE).

Values from the calculation:
Space-group type: P4_2/mnm, No. 136
Total magnetic moment in Bohr magnetons per cell: 0.00
Uncorrected formation energy in eV per atom: 1.508
DOS(E_F) in states/eV per atom: 0.4678
Crystal system: tetragonal
E_tot in eV/atom: -5.16

a b c (Å): 6.645 6.645 3.510
angles (deg): 90.00 90.00 90.00
Element x y z (fractional)
Sb (0.176, 0.176, 0.000)
Sb (0.324, 0.676, 0.500)
Sb (0.676, 0.324, 0.500)
Sb (0.824, 0.824, 0.000)
C (0.174, 0.826, 0.000)
C (0.326, 0.326, 0.500)
C (0.674, 0.674, 0.500)
C (0.826, 0.174, 0.000)



16.
Entry from the Alexandria database: an optimized crystal structure of SbC2 (PBE).

Values from the calculation:
Space-group type: C2/m, No. 12
Total magnetic moment in Bohr magnetons per cell: 0.00
Uncorrected formation energy in eV per atom: 1.193
DOS(E_F) in states/eV per atom: 0.1872
Crystal system: monoclinic
E_tot in eV/atom: -6.33

a b c (Å): 7.737 3.472 7.151
angles (deg): 90.00 108.82 90.00
Element x y z (fractional)
Sb (0.218, 0.000, 0.280)
Sb (0.282, 0.500, 0.720)
Sb (0.718, 0.500, 0.280)
Sb (0.782, 0.000, 0.720)
C (0.048, 0.500, 0.094)
C (0.092, 0.000, 0.518)
C (0.408, 0.500, 0.482)
C (0.452, 0.000, 0.906)
C (0.548, 0.000, 0.094)
C (0.592, 0.500, 0.518)
C (0.908, 0.000, 0.482)
C (0.952, 0.500, 0.906)



17.
Entry from the Alexandria database: an optimized crystal structure of Sb3C (PBE).

Values from the calculation:
Space-group type: P6_3/mmc, No. 194
Total magnetic moment in Bohr magnetons per cell: 0.00
Uncorrected formation energy in eV per atom: 0.986
DOS(E_F) in states/eV per atom: 0.3360
Crystal system: hexagonal
E_tot in eV/atom: -4.41

a b c (Å): 8.354 8.354 3.266
angles (deg): 90.00 90.00 120.00
Element x y z (fractional)
Sb (0.206, 0.412, 0.250)
Sb (0.206, 0.794, 0.250)
Sb (0.412, 0.206, 0.750)
Sb (0.588, 0.794, 0.250)
Sb (0.794, 0.206, 0.750)
Sb (0.794, 0.588, 0.750)
C (0.333, 0.667, 0.750)
C (0.667, 0.333, 0.250)



18.
Entry from the Alexandria database: an optimized crystal structure of Sb2C3 (PBE).

Values from the calculation:
Space-group type: Fdd2, No. 43
Total magnetic moment in Bohr magnetons per cell: 0.00
Uncorrected formation energy in eV per atom: 1.276
DOS(E_F) in states/eV per atom: 0.1240
Crystal system: orthorhombic
E_tot in eV/atom: -5.91

a b c (Å): 6.216 5.386 6.228
angles (deg): 64.24 51.29 64.48
Element x y z (fractional)
Sb (0.004, 0.496, 0.029)
Sb (0.221, 0.779, 0.246)
Sb (0.496, 0.004, 0.471)
Sb (0.779, 0.221, 0.754)
C (0.166, 0.166, 0.334)
C (0.452, 0.524, 0.626)
C (0.524, 0.452, 0.399)
C (0.624, 0.851, 0.798)
C (0.851, 0.624, 0.726)
C (0.916, 0.916, 0.084)



19.
Entry from the Alexandria database: an optimized crystal structure of SbC2 (PBE).

Values from the calculation:
Space-group type: P6_3/mmc, No. 194
Total magnetic moment in Bohr magnetons per cell: 0.00
Uncorrected formation energy in eV per atom: 2.842
DOS(E_F) in states/eV per atom: 0.5895
Crystal system: hexagonal
E_tot in eV/atom: -4.68

a b c (Å): 4.149 4.149 4.826
angles (deg): 90.00 90.00 120.00
Element x y z (fractional)
Sb (0.333, 0.667, 0.250)
Sb (0.667, 0.333, 0.750)
C (0.000, 0.000, 0.000)
C (0.000, 0.000, 0.500)
C (0.333, 0.667, 0.750)
C (0.667, 0.333, 0.250)



20.
Entry from the Alexandria database: an optimized crystal structure of Sb8C (PBE).

Values from the calculation:
Space-group type: I4/mmm, No. 139
Total magnetic moment in Bohr magnetons per cell: 0.00
Uncorrected formation energy in eV per atom: 0.645
DOS(E_F) in states/eV per atom: 0.4695
Crystal system: tetragonal
E_tot in eV/atom: -4.04

a b c (Å): 8.429 8.429 8.429
angles (deg): 92.60 92.60 155.43
Element x y z (fractional)
Sb (0.000, 0.345, 0.345)
Sb (0.000, 0.655, 0.655)
Sb (0.345, 0.000, 0.345)
Sb (0.374, 0.374, 0.748)
Sb (0.374, 0.626, 0.000)
Sb (0.626, 0.374, 0.000)
Sb (0.626, 0.626, 0.252)
Sb (0.655, 0.000, 0.655)
C (0.000, 0.000, 0.000)